No. 1
Below is crystalline LiCdF at its relaxed geometry, with properties calculated at the GGA-PBE level.

Lattice parameters (Å, degrees): 3.0925 3.0925 6.8619 90.00 90.00 120.00
Last column: nearest neighbours and their distance in Å.
Fractional coordinates of all 3 atoms:
F1 0.3333 0.6667 0.5000  3 Li 1.79
Li1 0.6667 0.3333 0.5000  3 F 1.79
Cd1 0.0000 0.0000 0.0001  6 Cd 3.09

Properties
total energy = -3.327 eV per atom

No. 2
Below is crystalline Li2Cd3F8 at its relaxed geometry, with properties calculated at the GGA-PBE level.

Lattice parameters (Å, degrees): 6.8558 7.0313 8.9284 90.00 90.00 119.18
Last column: nearest neighbours and their distance in Å.
Fractional coordinates of all 26 atoms:
Li1 0.6006 0.2012 0.1068  4 F 1.89-2.01
Li2 0.8994 0.7988 0.6068  4 F 1.89-2.01
Li3 0.1006 0.2012 0.3932  4 F 1.89-2.01
Li4 0.3994 0.7988 0.8932  4 F 1.89-2.01
Cd1 0.5862 0.6724 0.2500  6 F 2.21-2.39
Cd2 0.5000 0.0000 0.5000  6 F 2.28-2.29
Cd3 0.9138 0.3276 0.7500  6 F 2.21-2.39
Cd4 0.0862 0.6724 0.2500  6 F 2.21-2.39
Cd5 0.0000 0.0000 0.0000  6 F 2.28-2.29
Cd6 0.4138 0.3276 0.7500  6 F 2.21-2.39
F1 0.6257 0.7666 0.0063  1 Li 1.95
F2 0.6409 0.7666 0.4937  1 Li 1.95
F3 0.0281 0.0562 0.7467  1 Li 2.01
F4 0.7770 0.5540 0.7348  1 Li 1.89
F5 0.4719 0.9438 0.2467  1 Li 2.01
F6 0.7230 0.4460 0.2348  1 Li 1.89
F7 0.1257 0.7666 0.4937  1 Li 1.95
F8 0.8591 0.2334 0.9937  1 Li 1.95
F9 0.1409 0.7666 0.0063  1 Li 1.95
F10 0.8743 0.2334 0.5063  1 Li 1.95
F11 0.9719 0.9438 0.2533  1 Li 2.01
F12 0.5281 0.0562 0.7533  1 Li 2.01
F13 0.2230 0.4460 0.2652  1 Li 1.89
F14 0.2770 0.5540 0.7652  1 Li 1.89
F15 0.3591 0.2334 0.5063  1 Li 1.95
F16 0.3743 0.2334 0.9937  1 Li 1.95

Properties
total energy = -4.045 eV per atom

No. 3
Below is crystalline LiCdF3 at its relaxed geometry, with properties calculated at the GGA-PBE level.

Lattice parameters (Å, degrees): 4.4124 4.4124 4.4124 90.00 90.00 90.00
Last column: nearest neighbours and their distance in Å.
Fractional coordinates of all 5 atoms:
F1 0.0000 0.5000 0.0000  2 Cd 2.21
F2 0.0000 0.0000 0.5000  2 Cd 2.21
F3 0.5000 0.0000 0.0000  2 Cd 2.21
Li1 0.5000 0.5000 0.5000  12 F 3.12
Cd1 0.0000 0.0000 0.0000  6 F 2.21

Properties
total energy = -3.815 eV per atom

No. 4
Below is crystalline Li4CdF8 at its relaxed geometry, with properties calculated at the GGA-PBE level.

Lattice parameters (Å, degrees): 6.0446 6.0445 6.1932 90.00 119.21 120.00
Last column: nearest neighbours and their distance in Å.
Fractional coordinates of all 13 atoms:
Li1 0.0000 0.0000 0.0000  6 F 2.12
Li2 0.0000 0.5000 0.0000  6 F 1.98-2.01
Li3 0.5000 0.5000 0.0000  6 F 1.98-2.01
Li4 0.5000 0.0000 0.0000  6 F 1.98-2.01
Cd1 0.0000 0.5000 0.5000  6 F 2.23
F1 0.4541 0.7270 0.1811  3 Li 1.98
F2 0.5459 0.2730 0.8189  3 Li 1.98
F3 0.4885 0.2443 0.2082  3 Li 2.01-2.12, 1 Cd 2.23
F4 0.0360 0.2803 0.7918  3 Li 2.01-2.12, 1 Cd 2.23
F5 0.5115 0.7558 0.7918  3 Li 2.01-2.12, 1 Cd 2.23
F6 0.0360 0.7557 0.7918  3 Li 2.01-2.12, 1 Cd 2.23
F7 0.9640 0.2443 0.2082  3 Li 2.01-2.12, 1 Cd 2.23
F8 0.9640 0.7197 0.2082  3 Li 2.01-2.12, 1 Cd 2.23

Properties
total energy = -4.013 eV per atom

No. 5
Below is crystalline Li3CdF4 at its relaxed geometry, with properties calculated at the GGA-PBE level.

Lattice parameters (Å, degrees): 4.8581 4.8581 5.5957 115.73 115.73 90.00
Last column: nearest neighbours and their distance in Å.
Fractional coordinates of all 8 atoms:
Li1 0.5000 0.5000 0.0000  4 F 1.93
Li2 0.7500 0.2500 0.5000  4 F 1.97
Li3 0.2500 0.7500 0.5000  4 F 1.97
Cd1 0.0000 0.0000 0.0000  4 F 2.37
F1 0.4359 0.4359 0.2911  3 Li 1.93-1.97
F2 0.8552 0.8552 0.2911  3 Li 1.93-1.97
F3 0.1448 0.5641 0.7089  3 Li 1.93-1.97
F4 0.5641 0.1448 0.7089  3 Li 1.93-1.97

Properties
total energy = -4.182 eV per atom

No. 6
Below is crystalline LiCd2F2 at its relaxed geometry, with properties calculated at the GGA-PBE level.

Lattice parameters (Å, degrees): 4.0109 4.0109 6.1921 71.10 71.10 90.00
Last column: nearest neighbours and their distance in Å.
Fractional coordinates of all 5 atoms:
F1 0.7500 0.2500 0.5000  4 Cd 2.41
F2 0.2500 0.7500 0.5000  4 Cd 2.41
Li1 0.0000 0.0000 0.0000  8 Cd 3.17, 8 F 3.41
Cd1 0.3721 0.3721 0.2557  4 F 2.41
Cd2 0.6279 0.6279 0.7443  4 F 2.41

Properties
total energy = -2.765 eV per atom

Which of these has the lowest total energy?
Li3CdF4

total energy of number 4 (Li4CdF8)?
-4.013 eV per atom

total energy of number 4 (Li4CdF8)?
-4.013 eV per atom

What is the total energy in the fourth record?
-4.013 eV per atom